NiHS6 after structural relaxation. Source: Alexandria, functional PBE.

Cell lengths 4.2118, 4.9939, 8.6468 Å; angles 76.99, 76.96, 72.56 degrees
Fractional coordinates of all 8 atoms:
Ni  0.0000  0.0000  0.0000
H  0.5000  0.0000  0.0000
S  0.0935  0.6425  0.6706
S  0.2257  0.5374  0.1615
S  0.2986  0.8689  0.7789
S  0.7014  0.1311  0.2211
S  0.7743  0.4626  0.8385
S  0.9065  0.3575  0.3294

Summary:
The raw total energy comes out at -31.99 eV per formula unit. The density comes out at 2.51 g/cm3. Its space group is P-1 (2).

***

NiH2S after structural relaxation. Source: Alexandria, functional PBE.

Cell lengths 8.0897, 8.0897, 8.0897 Å; angles 17.49, 17.49, 17.49 degrees
Fractional coordinates of all 4 atoms:
Ni  0.0000  0.0000  0.0000
H  0.0645  0.0645  0.0645
H  0.9355  0.9355  0.9355
S  0.5000  0.5000  0.5000

Summary:
The raw total energy comes out at -13.32 eV per formula unit. The energy above the most stable polymorph in this dataset is 825 meV per atom. The density comes out at 3.69 g/cm3. Its space group is R-3m (166).

***

NiHS4 after structural relaxation. Source: Alexandria, functional PBE.

Cell lengths 5.4588, 6.9870, 7.2283 Å; angles 68.94, 84.56, 87.57 degrees
Fractional coordinates of all 12 atoms:
Ni  0.1748  0.2658  0.0597
Ni  0.8252  0.7342  0.9403
H  0.3466  0.9952  0.7998
H  0.6534  0.0048  0.2002
S  0.1221  0.9417  0.2552
S  0.1792  0.5969  0.8527
S  0.1872  0.1783  0.7841
S  0.4914  0.7678  0.7729
S  0.5086  0.2322  0.2271
S  0.8128  0.8217  0.2159
S  0.8208  0.4031  0.1473
S  0.8779  0.0583  0.7448

Summary:
The raw total energy comes out at -26.04 eV per formula unit. The density comes out at 2.44 g/cm3. Its space group is P-1 (2).

***

Ni3HS after structural relaxation. Source: Alexandria, functional PBE.

Cell lengths 3.6330, 3.6330, 3.6330 Å; angles 90.00, 90.00, 90.00 degrees
Fractional coordinates of all 5 atoms:
Ni  0.0000  0.0000  0.5000
Ni  0.0000  0.5000  0.0000
Ni  0.5000  0.0000  0.0000
H  0.0000  0.0000  0.0000
S  0.5000  0.5000  0.5000

Summary:
The raw total energy comes out at -24.26 eV per formula unit. The energy above the most stable polymorph in this dataset is 206 meV per atom. The density comes out at 7.24 g/cm3. Its space group is Pm-3m (221).

***

Ni3HS after structural relaxation. Source: Alexandria, functional PBE.

Cell lengths 5.8330, 5.9714, 6.7840 Å; angles 107.04, 101.09, 106.83 degrees
Fractional coordinates of all 20 atoms:
Ni  0.0000  0.0000  0.0000
Ni  0.0091  0.8426  0.3360
Ni  0.0679  0.5791  0.7862
Ni  0.0893  0.4569  0.1387
Ni  0.2558  0.2638  0.5929
Ni  0.3492  0.6868  0.5452
Ni  0.4267  0.2868  0.2821
Ni  0.5185  0.9978  0.9626
Ni  0.5579  0.7326  0.2329
Ni  0.6328  0.6051  0.8695
Ni  0.8336  0.0504  0.6516
Ni  0.8538  0.2217  0.3386
H  0.1793  0.3740  0.3688
H  0.3229  0.4822  0.8246
H  0.6136  0.7731  0.4865
H  0.7038  0.8940  0.8193
S  0.1626  0.9364  0.6947
S  0.2534  0.8442  0.1383
S  0.6693  0.3196  0.6007
S  0.7034  0.4297  0.1212

Summary:
The raw total energy comes out at -25.29 eV per formula unit. The energy above the most stable polymorph in this dataset is 0 meV per atom. The density comes out at 6.74 g/cm3. Its space group is P1 (1).

***

NiHS3 after structural relaxation. Source: Alexandria, functional PBE.

Cell lengths 4.4368, 4.4368, 4.4368 Å; angles 90.00, 90.00, 90.00 degrees
Fractional coordinates of all 5 atoms:
Ni  0.0000  0.0000  0.0000
H  0.5000  0.5000  0.5000
S  0.0000  0.0000  0.5000
S  0.0000  0.5000  0.0000
S  0.5000  0.0000  0.0000

Summary:
The raw total energy comes out at -16.45 eV per formula unit. The energy above the most stable polymorph in this dataset is 0 meV per atom. The density comes out at 2.96 g/cm3. Its space group is Pm-3m (221).

***

NiH2S after structural relaxation. Source: Alexandria, functional PBE.

Cell lengths 3.6328, 7.0651, 3.6340 Å; angles 90.00, 119.77, 90.00 degrees
Fractional coordinates of all 4 atoms:
Ni  0.0000  0.0000  0.0000
H  0.0758  0.5000  0.9622
H  0.9389  0.5000  0.0634
S  0.6662  0.0000  0.3341

Summary:
The raw total energy comes out at -16.62 eV per formula unit. The energy above the most stable polymorph in this dataset is 0 meV per atom. The density comes out at 1.90 g/cm3. Its space group is Pm (6).

***

Sc2NiHS after structural relaxation. Source: Alexandria, functional PBE.

Cell lengths 4.8431, 4.8431, 3.2766 Å; angles 90.00, 90.00, 90.00 degrees
Fractional coordinates of all 5 atoms:
Sc  0.0000  0.5000  0.0000
Sc  0.5000  0.0000  0.0000
Ni  0.0000  0.0000  0.0000
H  0.0000  0.0000  0.5000
S  0.5000  0.5000  0.5000

Summary:
The raw total energy comes out at -28.09 eV per formula unit. The density comes out at 3.93 g/cm3. Its space group is P4/mmm (123).

***

NiHW2S after structural relaxation. Source: Alexandria, functional PBE.

Cell lengths 3.7971, 3.7971, 4.3537 Å; angles 90.00, 90.00, 90.00 degrees
Fractional coordinates of all 5 atoms:
Ni  0.0000  0.0000  0.0000
H  0.5000  0.5000  0.5000
W  0.0000  0.5000  0.5000
W  0.5000  0.0000  0.5000
S  0.5000  0.5000  0.0000

Summary:
The raw total energy comes out at -35.39 eV per formula unit. The density comes out at 12.15 g/cm3. Its space group is P4/mmm (123).

***

Ni2SbH2 after structural relaxation. Source: Alexandria, functional PBE.

Cell lengths 5.0609, 5.0609, 3.4970 Å; angles 109.75, 109.75, 40.44 degrees
Fractional coordinates of all 5 atoms:
Ni  0.2502  0.2502  0.2500
Ni  0.7498  0.7498  0.7500
Sb  0.0000  0.0000  0.5000
H  0.2966  0.2966  0.7968
H  0.7034  0.7034  0.2032

Summary:
The raw total energy comes out at -22.30 eV per formula unit. The energy above the most stable polymorph in this dataset is 0 meV per atom. The density comes out at 7.39 g/cm3. Its space group is C2/m (12).

***

NiSb2H after structural relaxation. Source: Alexandria, functional PBE.

Cell lengths 4.4872, 4.4872, 4.4872 Å; angles 60.00, 60.00, 60.00 degrees
Fractional coordinates of all 4 atoms:
Ni  0.0000  0.0000  0.0000
Sb  0.2500  0.2500  0.2500
Sb  0.7500  0.7500  0.7500
H  0.5000  0.5000  0.5000

Summary:
The raw total energy comes out at -16.26 eV per formula unit. The energy above the most stable polymorph in this dataset is 229 meV per atom. The density comes out at 7.88 g/cm3. Its space group is Fm-3m (225).

***

NiSb3H after structural relaxation. Source: Alexandria, functional PBE.

Cell lengths 4.9752, 4.9752, 4.9752 Å; angles 90.00, 90.00, 90.00 degrees
Fractional coordinates of all 5 atoms:
Ni  0.0000  0.0000  0.0000
Sb  0.0000  0.0000  0.5000
Sb  0.0000  0.5000  0.0000
Sb  0.5000  0.0000  0.0000
H  0.5000  0.5000  0.5000

Summary:
The raw total energy comes out at -17.82 eV per formula unit. The energy above the most stable polymorph in this dataset is 109 meV per atom. The density comes out at 5.73 g/cm3. Its space group is Pm-3m (221).

***

NiSbH after structural relaxation. Source: Alexandria, functional PBE.

Cell lengths 6.5555, 6.5555, 4.3066 Å; angles 100.45, 100.45, 27.09 degrees
Fractional coordinates of all 6 atoms:
Ni  0.0000  0.0000  0.0000
Ni  0.5000  0.5000  0.5000
Sb  0.1665  0.1665  0.7149
Sb  0.8335  0.8335  0.2851
H  0.4475  0.4475  0.8144
H  0.5525  0.5525  0.1856

Summary:
The raw total energy comes out at -13.15 eV per formula unit. The energy above the most stable polymorph in this dataset is 26 meV per atom. The density comes out at 7.28 g/cm3. Its space group is C2/m (12).

***

NiSb2H after structural relaxation. Source: Alexandria, functional PBE.

Cell lengths 7.5286, 7.5286, 7.5286 Å; angles 142.99, 142.99, 53.35 degrees
Fractional coordinates of all 8 atoms:
Ni  0.0000  0.0000  0.0000
Ni  0.7500  0.2500  0.5000
Sb  0.1558  0.6250  0.0308
Sb  0.3750  0.4058  0.5308
Sb  0.5942  0.1250  0.9692
Sb  0.8750  0.8442  0.4692
H  0.2500  0.7500  0.5000
H  0.5000  0.5000  0.0000

Summary:
The raw total energy comes out at -15.85 eV per formula unit. The energy above the most stable polymorph in this dataset is 330 meV per atom. The density comes out at 6.55 g/cm3. Its space group is I-42d (122).

***

Ni2SbH2 after structural relaxation. Source: Alexandria, functional PBE.

Cell lengths 5.7646, 5.7646, 5.7646 Å; angles 148.55, 148.55, 45.08 degrees
Fractional coordinates of all 5 atoms:
Ni  0.1745  0.1745  0.0000
Ni  0.8255  0.8255  0.0000
Sb  0.5000  0.5000  0.0000
H  0.2500  0.7500  0.5000
H  0.7500  0.2500  0.5000

Summary:
The raw total energy comes out at -22.11 eV per formula unit. The energy above the most stable polymorph in this dataset is 40 meV per atom. The density comes out at 7.70 g/cm3. Its space group is I4/mmm (139).

***

NiSbH3 after structural relaxation. Source: Alexandria, functional PBE.

Cell lengths 3.9109, 3.9109, 3.9109 Å; angles 90.00, 90.00, 90.00 degrees
Fractional coordinates of all 5 atoms:
Ni  0.0000  0.0000  0.0000
Sb  0.5000  0.5000  0.5000
H  0.0000  0.5000  0.5000
H  0.5000  0.0000  0.5000
H  0.5000  0.5000  0.0000

Summary:
The raw total energy comes out at -14.94 eV per formula unit. The energy above the most stable polymorph in this dataset is 578 meV per atom. The density comes out at 5.09 g/cm3. Its space group is Pm-3m (221).

***

NiSbH after structural relaxation. Source: Alexandria, functional PBE.

Cell lengths 3.9088, 3.9088, 6.7964 Å; angles 90.00, 90.00, 90.00 degrees
Fractional coordinates of all 6 atoms:
Ni  0.2500  0.7500  0.0000
Ni  0.7500  0.2500  0.0000
Sb  0.2500  0.2500  0.2262
Sb  0.7500  0.7500  0.7738
H  0.2500  0.2500  0.4822
H  0.7500  0.7500  0.5178

Summary:
The raw total energy comes out at -12.66 eV per formula unit. The energy above the most stable polymorph in this dataset is 188 meV per atom. The density comes out at 5.80 g/cm3. Its space group is P4/nmm (129).

***

Ni8Sb3H2 after structural relaxation. Source: Alexandria, functional PBE.

Cell lengths 7.6160, 7.6160, 7.6160 Å; angles 39.38, 39.38, 39.38 degrees
Fractional coordinates of all 13 atoms:
Ni  0.1772  0.1772  0.1772
Ni  0.2319  0.2319  0.7304
Ni  0.2319  0.7304  0.2319
Ni  0.2696  0.7681  0.7681
Ni  0.7304  0.2319  0.2319
Ni  0.7681  0.2696  0.7681
Ni  0.7681  0.7681  0.2696
Ni  0.8228  0.8228  0.8228
Sb  0.2958  0.2958  0.2958
Sb  0.5000  0.5000  0.5000
Sb  0.7042  0.7042  0.7042
H  0.0993  0.0993  0.0993
H  0.9007  0.9007  0.9007

Summary:
The raw total energy comes out at -66.18 eV per formula unit. The density comes out at 8.68 g/cm3. Its space group is R-3m (166).

***

NiSb2H after structural relaxation. Source: Alexandria, functional PBE.

Cell lengths 6.7347, 6.7347, 6.7347 Å; angles 34.12, 34.12, 34.12 degrees
Fractional coordinates of all 4 atoms:
Ni  0.0000  0.0000  0.0000
Sb  0.3952  0.3952  0.3952
Sb  0.6048  0.6048  0.6048
H  0.5000  0.5000  0.5000

Summary:
The raw total energy comes out at -17.18 eV per formula unit. The energy above the most stable polymorph in this dataset is 0 meV per atom. The density comes out at 5.88 g/cm3. Its space group is R-3m (166).

***

NiSb3H after structural relaxation. Source: Alexandria, functional PBE.

Cell lengths 4.5872, 4.5872, 4.5872 Å; angles 90.00, 90.00, 90.00 degrees
Fractional coordinates of all 5 atoms:
Ni  0.0000  0.0000  0.0000
Sb  0.0000  0.5000  0.5000
Sb  0.5000  0.0000  0.5000
Sb  0.5000  0.5000  0.0000
H  0.5000  0.5000  0.5000

Summary:
The raw total energy comes out at -18.36 eV per formula unit. The energy above the most stable polymorph in this dataset is 0 meV per atom. The density comes out at 7.31 g/cm3. Its space group is Pm-3m (221).

***

NiSbH3 after structural relaxation. Source: Alexandria, functional PBE.

Cell lengths 3.5749, 3.5749, 3.5749 Å; angles 90.00, 90.00, 90.00 degrees
Fractional coordinates of all 5 atoms:
Ni  0.0000  0.0000  0.0000
Sb  0.5000  0.5000  0.5000
H  0.0000  0.0000  0.5000
H  0.0000  0.5000  0.0000
H  0.5000  0.0000  0.0000

Summary:
The raw total energy comes out at -17.83 eV per formula unit. The energy above the most stable polymorph in this dataset is 0 meV per atom. The density comes out at 6.67 g/cm3. Its space group is Pm-3m (221).

***

NiSbH after structural relaxation. Source: Alexandria, functional PBE.

Cell lengths 3.4017, 4.8789, 5.9735 Å; angles 67.27, 89.96, 89.99 degrees
Fractional coordinates of all 6 atoms:
Ni  0.0001  0.2464  0.0041
Ni  0.9999  0.7536  0.9959
Sb  0.4995  0.8561  0.2930
Sb  0.5005  0.1439  0.7070
H  0.0030  0.4132  0.1884
H  0.9970  0.5868  0.8116

Summary:
The raw total energy comes out at -13.22 eV per formula unit. The energy above the most stable polymorph in this dataset is 0 meV per atom. The density comes out at 6.59 g/cm3. Its space group is P-1 (2).

***

ScNi2SbH after structural relaxation. Source: Alexandria, functional PBE.

Cell lengths 3.9619, 3.9619, 4.0152 Å; angles 90.00, 90.00, 90.00 degrees
Fractional coordinates of all 5 atoms:
Sc  0.0000  0.0000  0.0000
Ni  0.0000  0.5000  0.5000
Ni  0.5000  0.0000  0.5000
Sb  0.5000  0.5000  0.0000
H  0.0000  0.0000  0.5000

Summary:
The raw total energy comes out at -27.10 eV per formula unit. The density comes out at 7.51 g/cm3. Its space group is P4/mmm (123).

***

Ni7SnSb2H2 after structural relaxation. Source: Alexandria, functional PBE.

Cell lengths 3.7760, 3.7760, 10.4277 Å; angles 100.42, 100.42, 90.04 degrees
Fractional coordinates of all 12 atoms:
Ni  0.0000  0.0000  0.0000
Ni  0.0930  0.5927  0.1869
Ni  0.1792  0.1792  0.3596
Ni  0.4073  0.9070  0.8131
Ni  0.5927  0.0930  0.1869
Ni  0.8208  0.8208  0.6404
Ni  0.9070  0.4073  0.8131
Sn  0.5000  0.5000  0.0000
Sb  0.3080  0.3080  0.6157
Sb  0.6919  0.6919  0.3843
H  0.0901  0.0901  0.1784
H  0.9099  0.9099  0.8216

Summary:
The raw total energy comes out at -61.51 eV per formula unit. The density comes out at 8.96 g/cm3. Its space group is C2/m (12).

***

TaNi2SbH after structural relaxation. Source: Alexandria, functional PBE.

Cell lengths 3.9810, 3.9810, 3.9503 Å; angles 90.00, 90.00, 90.00 degrees
Fractional coordinates of all 5 atoms:
Ta  0.0000  0.0000  0.0000
Ni  0.0000  0.5000  0.5000
Ni  0.5000  0.0000  0.5000
Sb  0.5000  0.5000  0.0000
H  0.0000  0.0000  0.5000

Summary:
The raw total energy comes out at -31.11 eV per formula unit. The density comes out at 11.17 g/cm3. Its space group is P4/mmm (123).

***

Tc2NiSbH after structural relaxation. Source: Alexandria, functional PBE.

Cell lengths 4.3082, 4.3082, 3.3412 Å; angles 90.00, 90.00, 90.00 degrees
Fractional coordinates of all 5 atoms:
Tc  0.0000  0.5000  0.0000
Tc  0.5000  0.0000  0.0000
Ni  0.0000  0.0000  0.5000
Sb  0.5000  0.5000  0.5000
H  0.0000  0.0000  0.0000

Summary:
The raw total energy comes out at -33.37 eV per formula unit. The density comes out at 10.11 g/cm3. Its space group is P4/mmm (123).